First-principles (PBE-GGA) data for a relaxed structure of HfMnFeNi, as listed in Alexandria.

Geometry as POSCAR:
```
HfMnFeNi
1.0
-0.561 -0.539 -4.211
-2.301 -3.308 -1.447
-3.849 0.673 -1.751
Ni Mn Hf Fe
1 1 1 1
direct
0.250 0.250 0.250 Ni
0.500 0.500 0.500 Mn
0.000 0.000 0.000 Hf
0.750 0.750 0.750 Fe
```

Results
spin magnetization = 4.82 μB per formula unit
calculated formation energy = -153 meV per atom